# BeFe2W, optimized geometry, DFT GGA-PBE
# - formation energy from the elements (eV/atom) = 0.27
# - energy (eV/atom) = -8.127
# - density of states at the Fermi level (states/eV/atom) = 0.77
data_BeFe2W
_chemical_formula_sum 'Be3 Fe6 W3'
_cell_length_a 2.6254
_cell_length_b 2.6254
_cell_length_c 24.4724
_cell_angle_alpha 90.00
_cell_angle_beta 90.00
_cell_angle_gamma 120.00
_symmetry_space_group_name_H-M 'R -3 m'
_symmetry_Int_Tables_number 166
_symmetry_space_group_name_Hall '-R 3 2"'
loop_
_atom_site_label
_atom_site_type_symbol
_atom_site_fract_x
_atom_site_fract_y
_atom_site_fract_z
Be1 Be 0.0000 0.0000 0.0000
Fe1 Fe 0.0000 0.0000 0.2595
W1 W 0.0000 0.0000 0.5000